# HoCuP2 | Alexandria via LeMat-Bulk | PBE | relaxed
# Formation energy from the elements   -872 meV per atom
# DOS at the Fermi energy   2.63 states/eV/cell
data_HoCuP2
_symmetry_space_group_name_H-M 'P 4/n m m'
_symmetry_Int_Tables_number 129
_cell_length_a 3.712
_cell_length_b 3.712
_cell_length_c 9.707
_cell_angle_alpha 90.00
_cell_angle_beta 90.00
_cell_angle_gamma 90.00
loop_
_symmetry_equiv_pos_as_xyz
'x,y,z'
'-x,-y,-z'
'-y+1/2,x,z'
'y+1/2,-x,-z'
'-x+1/2,-y+1/2,z'
'x+1/2,y+1/2,-z'
'y,-x+1/2,z'
'-y,x+1/2,-z'
'x+1/2,-y,-z'
'-x+1/2,y,z'
'-y,-x,-z'
'y,x,z'
'-x,y+1/2,-z'
'x,-y+1/2,z'
'y+1/2,x+1/2,-z'
'-y+1/2,-x+1/2,z'
loop_
_atom_site_label
_atom_site_fract_x
_atom_site_fract_y
_atom_site_fract_z
Ho1 0.250 0.250 0.231
Cu1 0.250 0.750 0.500
P1 0.250 0.250 0.657
P2 0.250 0.750 0.000